1.
KAs2Pd | PBE | relaxed

Properties
- Crystal system: tetragonal
- N(E_F): 0.32 states/eV/f.u.
- VASP energy: -0.3037 Ry/atom
- Calculated formation energy: -0.94 eV per formula unit

a b c (Å): 3.5896 3.5896 7.0388
angles (deg): 90.00 90.00 90.00
Last column: nearest neighbours and their distance in Å.
Atoms (fractional coordinates):
K 0.0000 0.0000 0.0000  8 As 3.45, 2 Pd 3.52, 4 K 3.59
As 0.5000 0.5000 0.3325  1 As 2.36
As 0.5000 0.5000 0.6675  1 As 2.36
Pd 0.0000 0.0000 0.5000  8 As 2.80

---

2.
K2As2Pd | PBE | relaxed

Properties
- Crystal system: tetragonal
- N(E_F): 2.46 states/eV/f.u.
- VASP energy: -0.2431 Ry/atom
- Calculated formation energy: 0.15 eV per formula unit

a b c (Å): 10.5151 10.5151 10.5151
angles (deg): 159.52 159.52 29.12
Last column: nearest neighbours and their distance in Å.
Atoms (fractional coordinates):
K 0.1032 0.1032 0.0000  4 Pd 3.38, 4 As 3.53, 4 K 3.74
K 0.8968 0.8968 0.0000  4 Pd 3.38, 4 As 3.53, 4 K 3.74
As 0.2500 0.7500 0.5000  4 As 2.64
As 0.7500 0.2500 0.5000  4 As 2.64
Pd 0.5000 0.5000 0.0000  8 K 3.38, 4 Pd 3.74

---

3.
KAs2Pd4 | PBE | relaxed

Properties
- Crystal system: orthorhombic
- N(E_F): 5.15 states/eV/f.u.
- VASP energy: -0.3559 Ry/atom
- Calculated formation energy: -2.73 eV per formula unit

a b c (Å): 8.4680 8.4680 4.1284
angles (deg): 90.00 90.00 151.29
Last column: nearest neighbours and their distance in Å.
Atoms (fractional coordinates):
K 0.0000 0.0000 0.0000  8 As 3.46, 8 Pd 3.72-3.77
As 0.3896 0.6104 0.5000  4 Pd 2.45-2.46
As 0.6104 0.3896 0.5000  4 Pd 2.45-2.46
Pd 0.1887 0.8113 0.5000  2 As 2.46
Pd 0.3090 0.6910 0.0000  2 As 2.45
Pd 0.6910 0.3090 0.0000  2 As 2.45
Pd 0.8113 0.1887 0.5000  2 As 2.46

---

4.
K2AsPd | PBE | relaxed

Properties
- Crystal system: tetragonal
- N(E_F): 2.49 states/eV/f.u.
- VASP energy: -0.2439 Ry/atom
- Calculated formation energy: -1.24 eV per formula unit

a b c (Å): 9.1564 9.1564 9.1564
angles (deg): 93.72 93.72 150.50
Last column: nearest neighbours and their distance in Å.
Atoms (fractional coordinates):
K 0.3750 0.1325 0.2575  2 Pd 3.19
K 0.8675 0.1250 0.2425  2 Pd 3.19
K 0.8750 0.1175 0.7425  2 Pd 3.19
K 0.8825 0.6250 0.7575  2 Pd 3.19
As 0.2500 0.7500 0.5000  2 Pd 2.33
As 0.5000 0.5000 0.0000  2 Pd 2.33
Pd 0.0000 0.0000 0.0000  2 As 2.33
Pd 0.7500 0.2500 0.5000  2 As 2.33

---

5.
K3As2Pd | PBE | relaxed

Properties
- Crystal system: orthorhombic
- N(E_F): 1.55 states/eV/f.u.
- VASP energy: -0.2424 Ry/atom
- Calculated formation energy: -2.01 eV per formula unit

a b c (Å): 8.5941 8.5941 8.5941
angles (deg): 119.81 81.90 130.07
Last column: nearest neighbours and their distance in Å.
Atoms (fractional coordinates):
K 0.1979 0.6508 0.8487  3 As 3.30-3.50, 2 Pd 3.40
K 0.2500 0.2500 0.0000  4 As 3.33, 2 K 3.63
K 0.3021 0.1508 0.4530  3 As 3.30-3.50, 2 Pd 3.40
K 0.6979 0.8492 0.5470  3 As 3.30-3.50, 2 Pd 3.40
K 0.7500 0.7500 0.0000  4 As 3.33, 2 K 3.63
K 0.8021 0.3492 0.1513  3 As 3.30-3.50, 2 Pd 3.40
As 0.0553 0.3129 0.3682  2 Pd 2.53
As 0.4447 0.8129 0.2577  2 Pd 2.53
As 0.5553 0.1871 0.7423  2 Pd 2.53
As 0.9447 0.6871 0.6318  2 Pd 2.53
Pd 0.2500 0.7500 0.5000  4 As 2.53
Pd 0.7500 0.2500 0.5000  4 As 2.53

---

6.
K2AsPd2 | PBE | relaxed

Properties
- Crystal system: tetragonal
- N(E_F): 2.50 states/eV/f.u.
- VASP energy: -0.2697 Ry/atom
- Calculated formation energy: -1.12 eV per formula unit

a b c (Å): 6.6071 6.6071 5.4823
angles (deg): 90.00 90.00 90.00
Last column: nearest neighbours and their distance in Å.
Atoms (fractional coordinates):
K 0.1760 0.3240 0.0000  6 Pd 3.18-3.50, 5 K 3.29-3.45
K 0.3240 0.8240 0.0000  6 Pd 3.18-3.50, 5 K 3.29-3.45
K 0.6760 0.1760 0.0000  6 Pd 3.18-3.50, 5 K 3.29-3.45
K 0.8240 0.6760 0.0000  6 Pd 3.18-3.50, 5 K 3.29-3.45
As 0.0000 0.0000 0.5000  4 Pd 2.51
As 0.5000 0.5000 0.5000  4 Pd 2.51
Pd 0.1520 0.6520 0.5000  2 As 2.51
Pd 0.3480 0.1520 0.5000  2 As 2.51
Pd 0.6520 0.8480 0.5000  2 As 2.51
Pd 0.8480 0.3480 0.5000  2 As 2.51

---

7.
KAs4Pd6 | PBE | relaxed

Properties
- Crystal system: hexagonal
- N(E_F): 6.71 states/eV/f.u.
- VASP energy: -0.3665 Ry/atom
- Calculated formation energy: -4.00 eV per formula unit

a b c (Å): 7.4136 7.4136 4.0627
angles (deg): 90.00 90.00 120.00
Last column: nearest neighbours and their distance in Å.
Atoms (fractional coordinates):
K 0.0000 0.0000 0.0000  6 As 3.17, 6 Pd 3.30
As 0.3333 0.6667 0.0000  9 Pd 2.62-2.64
As 0.3799 0.1899 0.5000  6 Pd 2.52-2.69
As 0.8101 0.1899 0.5000  6 Pd 2.52-2.69
As 0.8101 0.6201 0.5000  6 Pd 2.52-2.69
Pd 0.2023 0.4046 0.5000  4 As 2.52-2.64
Pd 0.2023 0.7977 0.5000  4 As 2.52-2.64
Pd 0.5371 0.0742 0.0000  5 As 2.62-2.69, 2 Pd 2.88
Pd 0.5371 0.4629 0.0000  5 As 2.62-2.69, 2 Pd 2.88
Pd 0.5954 0.7977 0.5000  4 As 2.52-2.64
Pd 0.9258 0.4629 0.0000  5 As 2.62-2.69, 2 Pd 2.88

---

8.
KAs2Pd | PBE | relaxed

Properties
- Crystal system: trigonal
- N(E_F): 2.45 states/eV/f.u.
- VASP energy: -0.2967 Ry/atom
- Calculated formation energy: -0.56 eV per formula unit

a b c (Å): 8.6600 8.6600 8.6600
angles (deg): 27.08 27.08 27.08
Last column: nearest neighbours and their distance in Å.
Atoms (fractional coordinates):
K 0.0000 0.0000 0.0000  2 As 3.17
As 0.1267 0.1267 0.1267  3 Pd 2.55
As 0.8733 0.8733 0.8733  3 Pd 2.55
Pd 0.5000 0.5000 0.5000  6 As 2.55

---

9.
KAs2Pd2 | PBE | relaxed

Properties
- Crystal system: tetragonal
- N(E_F): 2.10 states/eV/f.u.
- VASP energy: -0.3221 Ry/atom
- Calculated formation energy: -1.13 eV per formula unit

a b c (Å): 8.1760 8.1760 2.9661
angles (deg): 90.00 90.00 90.00
Last column: nearest neighbours and their distance in Å.
Atoms (fractional coordinates):
K 0.0000 0.0000 0.0000  2 K 2.97, 4 As 3.16
K 0.5000 0.5000 0.0000  2 K 2.97, 4 As 3.16
As 0.1403 0.3597 0.0000  4 Pd 2.67, 2 As 2.97
As 0.3597 0.8597 0.0000  4 Pd 2.67, 2 As 2.97
As 0.6403 0.1403 0.0000  4 Pd 2.67, 2 As 2.97
As 0.8597 0.6403 0.0000  4 Pd 2.67, 2 As 2.97
Pd 0.1308 0.6308 0.5000  4 As 2.67, 2 Pd 2.97
Pd 0.3692 0.1308 0.5000  4 As 2.67, 2 Pd 2.97
Pd 0.6308 0.8692 0.5000  4 As 2.67, 2 Pd 2.97
Pd 0.8692 0.3692 0.5000  4 As 2.67, 2 Pd 2.97

---

10.
K2As2Pd | PBE | relaxed

Properties
- Crystal system: tetragonal
- N(E_F): 1.67 states/eV/f.u.
- VASP energy: -0.2739 Ry/atom
- Calculated formation energy: -1.95 eV per formula unit

a b c (Å): 6.6172 6.6172 5.5400
angles (deg): 90.00 90.00 90.00
Last column: nearest neighbours and their distance in Å.
Atoms (fractional coordinates):
K 0.1722 0.3278 0.0000  5 K 3.22-3.46, 6 As 3.29-3.45
K 0.3278 0.8278 0.0000  5 K 3.22-3.46, 6 As 3.29-3.45
K 0.6722 0.1722 0.0000  5 K 3.22-3.46, 6 As 3.29-3.45
K 0.8278 0.6722 0.0000  5 K 3.22-3.46, 6 As 3.29-3.45
As 0.1374 0.6374 0.5000  2 Pd 2.57, 1 As 2.57
As 0.3626 0.1374 0.5000  2 Pd 2.57, 1 As 2.57
As 0.6374 0.8626 0.5000  2 Pd 2.57, 1 As 2.57
As 0.8626 0.3626 0.5000  2 Pd 2.57, 1 As 2.57
Pd 0.0000 0.0000 0.5000  4 As 2.57
Pd 0.5000 0.5000 0.5000  4 As 2.57

---

11.
K2As2Pd | PBE | relaxed

Properties
- Crystal system: tetragonal
- N(E_F): 6.07 states/eV/f.u.
- VASP energy: -0.2142 Ry/atom
- Calculated formation energy: 2.11 eV per formula unit

a b c (Å): 9.9816 9.9816 2.7771
angles (deg): 90.00 90.00 90.00
Last column: nearest neighbours and their distance in Å.
Atoms (fractional coordinates):
K 0.1309 0.3691 0.0000  2 K 2.78
K 0.3691 0.8691 0.0000  2 K 2.78
K 0.6309 0.1309 0.0000  2 K 2.78
K 0.8691 0.6309 0.0000  2 K 2.78
As 0.1693 0.6693 0.5000  2 As 2.78
As 0.3307 0.1693 0.5000  2 As 2.78
As 0.6693 0.8307 0.5000  2 As 2.78
As 0.8307 0.3307 0.5000  2 As 2.78
Pd 0.0000 0.0000 0.0000  2 Pd 2.78
Pd 0.5000 0.5000 0.0000  2 Pd 2.78